Record 1
Computed, not measured: an optimized crystal structure of Pr6AgRu2Cl3 at the PBE level of DFT.

Unit cell a=7.2072 b=12.5220 c=8.0523 alpha=90.00 beta=107.09 gamma=90.00
With the nearest neighbours (Å) after each atom.
Space group C2/m (No. 12)
One atom of each set of equivalent atoms:
Pr1 0.2070 0.0000 0.2092 (multiplicity 4)  2 Ru 2.81, 1 Ag 3.06, 1 Cl 3.12
Pr2 0.2491 0.3197 0.2093 (multiplicity 8)  2 Ru 2.82, 1 Ag 3.06, 1 Cl 3.09
Ag1 0.0000 0.5000 0.0000 (multiplicity 2)  6 Pr 3.06
Ru1 0.0000 0.1662 0.0000 (multiplicity 4)  6 Pr 2.81-2.82
Cl1 0.0000 0.0000 0.5000 (multiplicity 2)  6 Pr 3.12-3.37
Cl2 0.0000 0.3254 0.5000 (multiplicity 4)  6 Pr 3.09-3.44

Summary:
Magnetic moment, Bohr magnetons per cell: 0.00
E_form (uncorrected), meV/atom: -889

***

Record 2
Computed, not measured: an optimized crystal structure of SnSbTe3Au at the PBE level of DFT.

Unit cell a=8.6039 b=4.3436 c=10.1180 alpha=90.00 beta=100.24 gamma=90.00
With the nearest neighbours (Å) after each atom.
Space group P2_1/m (No. 11)
One atom of each set of equivalent atoms:
Sn1 0.1704 0.2500 0.3026 (multiplicity 2)  3 Au 3.15-3.33, 6 Te 3.17-3.49
Sb1 0.3364 0.7500 0.8614 (multiplicity 2)  5 Te 2.93-3.11
Te1 0.0839 0.2500 0.8638 (multiplicity 2)  1 Au 2.77, 2 Sb 3.07
Te2 0.2777 0.7500 0.5288 (multiplicity 2)  3 Au 2.93-3.03, 2 Sn 3.17
Te3 0.4090 0.7500 0.1560 (multiplicity 2)  3 Sb 2.93-3.11
Au1 0.0719 0.2500 0.5881 (multiplicity 2)  4 Te 2.77-3.03, 2 Au 2.94

Summary:
Magnetic moment, Bohr magnetons per cell: 0.00
E_form (uncorrected), meV/atom: -109

***

Record 3
Computed, not measured: an optimized crystal structure of SmAsH at the PBE level of DFT.

Unit cell a=4.0789 b=4.0789 c=7.1924 alpha=90.00 beta=90.00 gamma=90.00
With the nearest neighbours (Å) after each atom.
Space group I4mm (No. 107)
One atom of each set of equivalent atoms:
Sm1 0.0000 0.0000 0.0000 (multiplicity 2)  1 H 2.39
As1 0.0000 0.0000 0.5917 (multiplicity 2)  1 H 1.87
H1 0.0000 0.0000 0.3317 (multiplicity 2)  1 As 1.87

Summary:
Polymorph energy (0 for the lowest one), meV/atom: 377
Magnetic moment, Bohr magnetons per cell: 0.00

***

Number 1: DFT total energy -132.585 eV for the cell shown. Number 2: DFT total energy -42.957 eV for the cell shown. Number 3: DFT total energy -28.267 eV for the cell shown.